Record 1
{"formula": "Dy4ZnCu", "functional": "GGA-PBE", "state": "relaxed", "lattice_angstrom": [[3.512, 0.000, 0.000], [0.000, 3.512, 0.000], [0.000, 0.000, 12.298]], "species": ["Dy", "Dy", "Dy", "Dy", "Zn", "Cu"], "fractional_positions": [[0.000, 0.000, 0.139], [0.000, 0.000, 0.861], [0.500, 0.500, 0.355], [0.500, 0.500, 0.645], [0.000, 0.000, 0.500], [0.500, 0.500, 0.000]], "e_tot_ev_per_cell": -24.79, "total_magnetization_mub_per_fu": 0.00, "density_g_cm3": 8.53}

Record 2
{"formula": "SbAuF3", "functional": "GGA-PBE", "state": "relaxed", "lattice_angstrom": [[4.484, 0.000, 0.000], [0.000, 4.484, 0.000], [0.000, 0.000, 4.484]], "species": ["Sb", "Au", "F", "F", "F"], "fractional_positions": [[0.000, 0.000, 0.000], [0.500, 0.500, 0.500], [0.000, 0.000, 0.500], [0.000, 0.500, 0.000], [0.500, 0.000, 0.000]], "e_form_raw_ev_per_fu": -6.18, "e_tot_ev_per_cell": -19.20, "total_magnetization_mub_per_fu": 0.00, "density_g_cm3": 6.92}

Record 3
{"formula": "SiMoPb2", "functional": "GGA-PBE", "state": "relaxed", "lattice_angstrom": [[-1.763, 2.021, 6.876], [1.763, -2.021, 6.876], [1.763, 2.021, -6.876]], "species": ["Si", "Mo", "Pb", "Pb"], "fractional_positions": [[0.000, 0.000, 0.000], [0.123, 0.623, 0.500], [0.412, 0.412, 0.000], [0.699, 0.199, 0.500]], "e_form_raw_ev_per_fu": 2.09, "e_tot_ev_per_cell": -21.58, "total_magnetization_mub_per_fu": 0.00, "density_g_cm3": 9.12}

Record 4
{"formula": "La2AlCuO6", "functional": "GGA-PBE", "state": "relaxed", "lattice_angstrom": [[0.000, 3.854, 3.854], [3.854, 0.000, 3.854], [3.854, 3.854, 0.000]], "species": ["La", "La", "Al", "Cu", "O", "O", "O", "O", "O", "O"], "fractional_positions": [[0.250, 0.250, 0.250], [0.750, 0.750, 0.750], [0.000, 0.000, 0.000], [0.500, 0.500, 0.500], [0.244, 0.244, 0.756], [0.244, 0.756, 0.244], [0.244, 0.756, 0.756], [0.756, 0.244, 0.244], [0.756, 0.244, 0.756], [0.756, 0.756, 0.244]], "e_form_raw_ev_per_fu": -25.49, "e_tot_ev_per_cell": -72.93, "total_magnetization_mub_per_fu": 1.63, "density_g_cm3": 6.74}

Record 5
{"formula": "CePmAgPb", "functional": "GGA-PBE", "state": "relaxed", "lattice_angstrom": [[0.000, 3.843, 3.843], [3.843, 0.000, 3.843], [3.843, 3.843, 0.000]], "species": ["Ce", "Pm", "Ag", "Pb"], "fractional_positions": [[0.000, 0.000, 0.000], [0.500, 0.500, 0.500], [0.750, 0.750, 0.750], [0.250, 0.250, 0.250]], "e_tot_ev_per_cell": -18.53, "total_magnetization_mub_per_fu": 2.10, "density_g_cm3": 8.78}

Record 6
{"formula": "Cs4LiCa3Br12", "functional": "GGA-PBE", "state": "relaxed", "lattice_angstrom": [[-5.711, 5.711, 5.711], [5.711, -5.711, 5.711], [5.711, 5.711, -5.711]], "species": ["Cs", "Cs", "Cs", "Cs", "Li", "Ca", "Ca", "Ca", "Br", "Br", "Br", "Br", "Br", "Br", "Br", "Br", "Br", "Br", "Br", "Br"], "fractional_positions": [[0.000, 0.000, 0.500], [0.000, 0.500, 0.000], [0.500, 0.000, 0.000], [0.500, 0.500, 0.500], [0.000, 0.000, 0.000], [0.000, 0.500, 0.500], [0.500, 0.000, 0.500], [0.500, 0.500, 0.000], [0.000, 0.246, 0.246], [0.000, 0.754, 0.754], [0.246, 0.000, 0.246], [0.246, 0.246, 0.000], [0.250, 0.500, 0.750], [0.250, 0.750, 0.500], [0.500, 0.250, 0.750], [0.500, 0.750, 0.250], [0.750, 0.250, 0.500], [0.750, 0.500, 0.250], [0.754, 0.000, 0.754], [0.754, 0.754, 0.000]], "e_form_raw_ev_per_fu": -35.45, "e_tot_ev_per_cell": -66.86, "total_magnetization_mub_per_fu": 0.00, "density_g_cm3": 3.61}

Record 7
{"formula": "Li4TlPb", "functional": "GGA-PBE", "state": "relaxed", "lattice_angstrom": [[4.094, -2.365, 0.000], [4.094, 2.365, 0.000], [-0.008, 0.000, 6.218]], "species": ["Li", "Li", "Li", "Li", "Tl", "Pb"], "fractional_positions": [[0.166, 0.166, 0.200], [0.167, 0.167, 0.686], [0.833, 0.833, 0.314], [0.834, 0.834, 0.800], [0.500, 0.500, 0.000], [0.500, 0.500, 0.500]], "e_tot_ev_per_cell": -15.23, "total_magnetization_mub_per_fu": 0.00, "density_g_cm3": 6.06}

Record 8
{"formula": "CeDyTe2", "functional": "GGA-PBE", "state": "relaxed", "lattice_angstrom": [[0.000, 3.817, 3.817], [3.817, 0.000, 3.817], [3.817, 3.817, 0.000]], "species": ["Ce", "Dy", "Te", "Te"], "fractional_positions": [[0.000, 0.000, 0.000], [0.500, 0.500, 0.500], [0.250, 0.250, 0.250], [0.750, 0.750, 0.750]], "e_form_raw_ev_per_fu": -4.76, "e_tot_ev_per_cell": -21.58, "total_magnetization_mub_per_fu": 1.99, "density_g_cm3": 8.33}

Record 9
{"formula": "ErNbNi10", "functional": "GGA-PBE", "state": "relaxed", "lattice_angstrom": [[3.967, 0.000, 0.000], [0.000, 4.749, 0.000], [0.000, 0.000, 8.232]], "species": ["Er", "Nb", "Ni", "Ni", "Ni", "Ni", "Ni", "Ni", "Ni", "Ni", "Ni", "Ni"], "fractional_positions": [[0.000, 0.000, 0.000], [0.000, 0.500, 0.500], [0.000, 0.000, 0.342], [0.000, 0.000, 0.658], [0.000, 0.500, 0.179], [0.000, 0.500, 0.821], [0.500, 0.000, 0.500], [0.500, 0.255, 0.258], [0.500, 0.255, 0.742], [0.500, 0.500, 0.000], [0.500, 0.745, 0.258], [0.500, 0.745, 0.742]], "e_tot_ev_per_cell": -74.68, "total_magnetization_mub_per_fu": 2.15, "density_g_cm3": 9.07}

Record 10
{"formula": "V2Cr3Si3", "functional": "GGA-PBE", "state": "relaxed", "lattice_angstrom": [[-4.574, 4.611, 2.329], [4.574, -4.611, 2.329], [4.574, 4.611, -2.329]], "species": ["V", "V", "V", "V", "Cr", "Cr", "Cr", "Cr", "Cr", "Cr", "Si", "Si", "Si", "Si", "Si", "Si"], "fractional_positions": [[0.078, 0.231, 0.308], [0.422, 0.731, 0.153], [0.578, 0.269, 0.847], [0.922, 0.769, 0.692], [0.223, 0.923, 0.146], [0.250, 0.750, 0.500], [0.277, 0.423, 0.700], [0.723, 0.577, 0.300], [0.750, 0.250, 0.500], [0.777, 0.077, 0.854], [0.166, 0.663, 0.829], [0.250, 0.250, 0.000], [0.334, 0.163, 0.497], [0.666, 0.837, 0.503], [0.750, 0.750, 0.000], [0.834, 0.337, 0.171]], "e_form_raw_ev_per_fu": -3.52, "e_tot_ev_per_cell": -133.79, "total_magnetization_mub_per_fu": 0.00, "density_g_cm3": 5.78}

Record 11
{"formula": "LiSmZrRe", "functional": "GGA-PBE", "state": "relaxed", "lattice_angstrom": [[0.000, 3.423, 3.423], [3.423, 0.000, 3.423], [3.423, 3.423, 0.000]], "species": ["Li", "Sm", "Zr", "Re"], "fractional_positions": [[0.000, 0.000, 0.000], [0.250, 0.250, 0.250], [0.750, 0.750, 0.750], [0.500, 0.500, 0.500]], "e_tot_ev_per_cell": -27.47, "total_magnetization_mub_per_fu": 0.00, "density_g_cm3": 9.00}

Record 12
{"formula": "NdTmNiRu", "functional": "GGA-PBE", "state": "relaxed", "lattice_angstrom": [[0.000, 3.429, 3.429], [3.429, 0.000, 3.429], [3.429, 3.429, 0.000]], "species": ["Nd", "Tm", "Ni", "Ru"], "fractional_positions": [[0.000, 0.000, 0.000], [0.500, 0.500, 0.500], [0.750, 0.750, 0.750], [0.250, 0.250, 0.250]], "e_tot_ev_per_cell": -25.50, "total_magnetization_mub_per_fu": 0.00, "density_g_cm3": 9.74}

Record 13
{"formula": "Cr2GaOs2", "functional": "GGA-PBE", "state": "relaxed", "lattice_angstrom": [[7.255, 0.000, 0.000], [0.000, 7.255, 0.000], [0.000, 0.000, 2.734]], "species": ["Cr", "Cr", "Cr", "Cr", "Ga", "Ga", "Os", "Os", "Os", "Os"], "fractional_positions": [[0.159, 0.341, 0.000], [0.341, 0.841, 0.000], [0.659, 0.159, 0.000], [0.841, 0.659, 0.000], [0.000, 0.000, 0.500], [0.500, 0.500, 0.500], [0.132, 0.632, 0.500], [0.368, 0.132, 0.500], [0.632, 0.868, 0.500], [0.868, 0.368, 0.500]], "e_tot_ev_per_cell": -87.32, "total_magnetization_mub_per_fu": 0.00, "density_g_cm3": 12.79}

Record 14
{"formula": "RbSrSe2N", "functional": "GGA-PBE", "state": "relaxed", "lattice_angstrom": [[5.960, 0.000, 0.000], [0.000, 5.960, 0.000], [0.000, 0.000, 5.039]], "species": ["Rb", "Sr", "Se", "Se", "N"], "fractional_positions": [[0.000, 0.000, 0.000], [0.500, 0.500, 0.500], [0.000, 0.500, 0.000], [0.500, 0.000, 0.000], [0.000, 0.000, 0.500]], "e_form_raw_ev_per_fu": 2.83, "e_tot_ev_per_cell": -15.11, "total_magnetization_mub_per_fu": 3.67, "density_g_cm3": 3.20}

Record 15
{"formula": "NdSnP2", "functional": "GGA-PBE", "state": "relaxed", "lattice_angstrom": [[1.903, 1.099, 8.744], [-1.903, 1.099, 8.744], [0.000, -2.198, 8.744]], "species": ["Nd", "Sn", "P", "P"], "fractional_positions": [[0.000, 0.000, 0.000], [0.500, 0.500, 0.500], [0.108, 0.108, 0.108], [0.892, 0.892, 0.892]], "e_tot_ev_per_cell": -19.01, "total_magnetization_mub_per_fu": 0.00, "density_g_cm3": 4.92}

Record 16
{"formula": "Ac2La5TbPr", "functional": "GGA-PBE", "state": "relaxed", "lattice_angstrom": [[-4.636, 4.636, 8.049], [4.636, -4.636, 8.049], [4.636, 4.636, -8.049]], "species": ["Ac", "Ac", "Ac", "Ac", "La", "La", "La", "La", "La", "La", "La", "La", "La", "La", "Tb", "Tb", "Pr", "Pr"], "fractional_positions": [[0.127, 0.627, 0.753], [0.373, 0.127, 0.500], [0.627, 0.873, 0.500], [0.873, 0.373, 0.247], [0.000, 0.000, 0.000], [0.056, 0.152, 0.500], [0.152, 0.652, 0.096], [0.348, 0.444, 0.500], [0.444, 0.944, 0.096], [0.500, 0.500, 0.000], [0.556, 0.056, 0.904], [0.652, 0.556, 0.500], [0.848, 0.348, 0.904], [0.944, 0.848, 0.500], [0.250, 0.750, 0.500], [0.750, 0.250, 0.500], [0.250, 0.250, 0.000], [0.750, 0.750, 0.000]], "e_tot_ev_per_cell": -79.17, "total_magnetization_mub_per_fu": 0.00, "density_g_cm3": 6.95}

Record 17
{"formula": "Ac2TaB2N6", "functional": "GGA-PBE", "state": "relaxed", "lattice_angstrom": [[2.712, 1.566, 5.402], [-2.712, 1.566, 5.402], [0.000, -3.132, 5.402]], "species": ["Ac", "Ac", "Ta", "B", "B", "N", "N", "N", "N", "N", "N"], "fractional_positions": [[0.228, 0.228, 0.228], [0.772, 0.772, 0.772], [0.000, 0.000, 0.000], [0.414, 0.414, 0.414], [0.586, 0.586, 0.586], [0.255, 0.255, 0.722], [0.255, 0.722, 0.255], [0.278, 0.745, 0.745], [0.722, 0.255, 0.255], [0.745, 0.278, 0.745], [0.745, 0.745, 0.278]], "e_form_raw_ev_per_fu": -12.33, "e_tot_ev_per_cell": -95.70, "total_magnetization_mub_per_fu": 0.00, "density_g_cm3": 8.93}

Record 18
{"formula": "Sm3As4Pd4", "functional": "GGA-PBE", "state": "relaxed", "lattice_angstrom": [[-2.137, 3.567, 7.104], [2.137, -3.567, 7.104], [2.137, 3.567, -7.104]], "species": ["Sm", "Sm", "Sm", "As", "As", "As", "As", "Pd", "Pd", "Pd", "Pd"], "fractional_positions": [[0.000, 0.000, 0.000], [0.371, 0.871, 0.500], [0.629, 0.129, 0.500], [0.215, 0.215, 0.000], [0.304, 0.500, 0.804], [0.696, 0.500, 0.196], [0.785, 0.785, 0.000], [0.027, 0.329, 0.699], [0.370, 0.671, 0.699], [0.630, 0.329, 0.301], [0.973, 0.671, 0.301]], "e_tot_ev_per_cell": -64.98, "total_magnetization_mub_per_fu": 0.00, "density_g_cm3": 9.02}

Record 19
{"formula": "Ta2V2Re", "functional": "GGA-PBE", "state": "relaxed", "lattice_angstrom": [[6.261, 0.000, 0.000], [0.000, 6.261, 0.000], [0.000, 0.000, 4.197]], "species": ["Ta", "Ta", "Ta", "Ta", "V", "V", "V", "V", "Re", "Re"], "fractional_positions": [[0.171, 0.329, 0.000], [0.329, 0.829, 0.000], [0.671, 0.171, 0.000], [0.829, 0.671, 0.000], [0.141, 0.641, 0.500], [0.359, 0.141, 0.500], [0.641, 0.859, 0.500], [0.859, 0.359, 0.500], [0.000, 0.000, 0.500], [0.500, 0.500, 0.500]], "e_tot_ev_per_cell": -106.75, "total_magnetization_mub_per_fu": 0.00, "density_g_cm3": 13.12}

Record 20
{"formula": "AlNiSbTe2", "functional": "GGA-PBE", "state": "relaxed", "lattice_angstrom": [[5.296, 0.000, 0.000], [0.000, 5.296, 0.000], [0.000, 0.000, 5.160]], "species": ["Al", "Ni", "Sb", "Te", "Te"], "fractional_positions": [[0.000, 0.000, 0.000], [0.500, 0.500, 0.500], [0.000, 0.000, 0.500], [0.000, 0.500, 0.000], [0.500, 0.000, 0.000]], "e_form_raw_ev_per_fu": 4.31, "e_tot_ev_per_cell": -15.62, "total_magnetization_mub_per_fu": 0.80, "density_g_cm3": 5.31}